{"formula": "PrNi3C4O12", "functional": "GGA+U", "state": "relaxed", "total_energy_ev_per_atom": -6.93, "m_tot_mub_per_cell": 5.00, "lattice_angstrom": [[-3.1429, 0.4990, 5.2917], [3.0227, -5.3375, 0.7098], [4.4763, 4.1997, 0.6739]], "species": ["Pr", "Ni", "Ni", "Ni", "C", "C", "C", "C", "O", "O", "O", "O", "O", "O", "O", "O", "O", "O", "O", "O"], "fractional_positions": [[0.0000, 0.0000, 0.0000], [0.5441, 0.4559, 0.0000], [0.4559, 0.0000, 0.5441], [0.0000, 0.5441, 0.4559], [0.9532, 0.0468, 0.5000], [0.0468, 0.5000, 0.9532], [0.5000, 0.9532, 0.0468], [0.5000, 0.5000, 0.5000], [0.5000, 0.3651, 0.6349], [0.9122, 0.5000, 0.0878], [0.0878, 0.9122, 0.5000], [0.5000, 0.0878, 0.9122], [0.3736, 0.9641, 0.1895], [0.1895, 0.3736, 0.9641], [0.9641, 0.1895, 0.3736], [0.6264, 0.8105, 0.0359], [0.0359, 0.6264, 0.8105], [0.8105, 0.0359, 0.6264], [0.6349, 0.5000, 0.3651], [0.3651, 0.6349, 0.5000]]}